No. 1
Density functional theory data (GGA-PBE) for a relaxed structure of La6Ir4Pb.

Properties
- energy of formation from the pure elements (meV per atom) = -665
- symmetry = Cmcm
- N(E_F) (states/eV per cell) = 11.545
- spin magnetization (μB/cell) = 0.00

a b c (Å): 7.3349 7.3349 21.4472
angles (deg): 90.00 90.00 146.16
Last column: nearest neighbours and their distance in Å.
Element x y z (fractional)
La (0.0000, 0.0000, 0.0000)  6 Ir 2.99-3.09
La (0.0000, 0.0000, 0.5000)  6 Ir 2.99-3.09
La (0.1640, 0.8360, 0.7500)  2 Ir 2.76
La (0.2649, 0.7351, 0.0844)  5 Ir 2.95-3.03
La (0.2649, 0.7351, 0.4156)  5 Ir 2.95-3.03
La (0.4648, 0.5352, 0.6504)  3 Ir 2.74-2.91
La (0.4648, 0.5352, 0.8496)  3 Ir 2.74-2.91
La (0.5352, 0.4648, 0.1504)  3 Ir 2.74-2.91
La (0.5352, 0.4648, 0.3496)  3 Ir 2.74-2.91
La (0.7351, 0.2649, 0.5844)  5 Ir 2.95-3.03
La (0.7351, 0.2649, 0.9156)  5 Ir 2.95-3.03
La (0.8360, 0.1640, 0.2500)  2 Ir 2.76
Ir (0.1018, 0.8982, 0.6279)  5 La 2.76-2.99
Ir (0.1018, 0.8982, 0.8721)  5 La 2.76-2.99
Ir (0.3642, 0.6358, 0.5411)  6 La 2.74-3.03
Ir (0.3642, 0.6358, 0.9589)  6 La 2.74-3.03
Ir (0.6358, 0.3642, 0.0411)  6 La 2.74-3.03
Ir (0.6358, 0.3642, 0.4589)  6 La 2.74-3.03
Ir (0.8982, 0.1018, 0.1279)  5 La 2.76-2.99
Ir (0.8982, 0.1018, 0.3721)  5 La 2.76-2.99
Pb (0.1539, 0.8461, 0.2500)  6 La 3.33-3.45
Pb (0.8461, 0.1539, 0.7500)  6 La 3.33-3.45



No. 2
Density functional theory data (GGA-PBE) for a relaxed structure of Ac2TmTcO8.

Properties
- symmetry = P-1
- spin magnetization (μB/cell) = 0.00
- E_form (uncorrected) (meV per atom) = -2638

a b c (Å): 5.7339 6.2780 6.4564
angles (deg): 74.80 76.29 70.46
Last column: nearest neighbours and their distance in Å.
Element x y z (fractional)
Ac (0.0903, 0.1474, 0.2052)  4 O 2.35-2.60
Ac (0.9097, 0.8526, 0.7948)  4 O 2.35-2.60
Tm (0.5000, 0.5000, 0.5000)  6 O 2.13-2.32
Tc (0.5000, 0.5000, 0.0000)  6 O 1.90-1.93
O (0.2269, 0.8297, 0.4811)  1 Tm 2.13, 2 Ac 2.35-2.38
O (0.2774, 0.8059, 0.9886)  1 Tc 1.91
O (0.2856, 0.4315, 0.8520)  1 Tc 1.93
O (0.3178, 0.4022, 0.2755)  1 Tc 1.90
O (0.6822, 0.5978, 0.7245)  1 Tc 1.90
O (0.7144, 0.5685, 0.1480)  1 Tc 1.93
O (0.7226, 0.1941, 0.0114)  1 Tc 1.91
O (0.7731, 0.1703, 0.5189)  1 Tm 2.13, 2 Ac 2.35-2.38



No. 3
Density functional theory data (GGA-PBE) for a relaxed structure of RbMgSbAs2.

Properties
- symmetry = P4/mmm
- N(E_F) (states/eV per cell) = 2.816
- spin magnetization (μB/cell) = 0.00
- E_form (uncorrected) (meV per atom) = 182

a b c (Å): 5.2280 5.2280 5.4874
angles (deg): 90.00 90.00 90.00
Last column: nearest neighbours and their distance in Å.
Element x y z (fractional)
Rb (0.0000, 0.0000, 0.0000)  4 Sb 3.70, 8 As 3.79
Mg (0.5000, 0.5000, 0.5000)  4 As 2.61, 2 Sb 2.74
Sb (0.5000, 0.5000, 0.0000)  2 Mg 2.74
As (0.0000, 0.5000, 0.5000)  2 Mg 2.61
As (0.5000, 0.0000, 0.5000)  2 Mg 2.61